# 1
Density functional theory data (GGA-PBE) for a relaxed SnBIrRh2 crystal.

Cell: 4.1713 4.1713 4.1507 Å, 90.00 90.00 90.00°
Element x y z (fractional)
Sn 0.5000 0.5000 0.5000
Rh 0.0000 0.5000 0.0000
Rh 0.5000 0.0000 0.0000
B 0.0000 0.0000 0.0000
Ir 0.0000 0.0000 0.5000

Computed properties:
total moment	0.000	Bohr magnetons per cell
density	12.13	Mg/m³
total DFT energy (no corrections)	-35.58	eV for the cell shown
density of states at the Fermi level	1.47	states/eV per cell



# 2
Density functional theory data (GGA-PBE) for a relaxed Rb4Tb3PaS8 crystal.

Cell: 8.1904 9.0444 8.1899 Å, 116.92 120.00 90.00°
Each line ends with the local moment (μB).
Element x y z (fractional)
S 0.2303 0.6939 0.4607  -0.02
S 0.2667 0.3061 0.0364  -0.02
S 0.2688 0.3066 0.5377  0.00
S 0.7312 0.6934 0.4623  0.00
S 0.7697 0.3061 0.5393  -0.02
S 0.7697 0.3061 0.0364  -0.02
S 0.2303 0.6939 0.9636  -0.02
S 0.7333 0.6939 0.9636  -0.02
Rb 0.5000 0.0000 0.0000  0.00
Rb 0.0000 0.0000 0.5000  0.00
Rb 0.0000 0.0000 0.0000  0.00
Rb 0.5000 0.0000 0.5000  0.00
Pa 0.0000 0.5000 0.0000  1.22
Tb 0.0000 0.5000 0.5000  0.07
Tb 0.5000 0.5000 0.5000  0.07
Tb 0.5000 0.5000 0.0000  0.07

Computed properties:
total moment	1.777	Bohr magnetons per cell
density	4.84	Mg/m³
formation energy without anion corrections	-1733	meV per atom
density of states at the Fermi level	10.07	states/eV per cell



# 3
Density functional theory data (GGA-PBE) for a relaxed Tl6Ga3Cl14 crystal.

Cell: 6.2216 11.8156 11.8156 Å, 120.00 90.00 90.00°
Each line ends with the local moment (μB).
Element x y z (fractional)
Cl 0.4595 0.5335 0.7971  0.00
Cl 0.9863 0.3333 0.6667  0.00
Cl 0.7316 0.7366 0.1875  0.07
Cl 0.2781 0.5184 0.1173  0.07
Cl 0.7316 0.4508 0.2634  0.07
Cl 0.7316 0.8125 0.5492  0.07
Cl 0.9360 0.8005 0.8680  0.00
Cl 0.4615 0.0000 0.0000  0.00
Cl 0.4595 0.2636 0.4665  0.00
Cl 0.4595 0.2029 0.7364  0.00
Cl 0.9360 0.0674 0.1995  0.00
Cl 0.2781 0.5988 0.4816  0.07
Cl 0.2781 0.8827 0.4012  0.07
Cl 0.9360 0.1320 0.9326  0.00
Ga 0.3391 0.3333 0.6667  0.00
Ga 0.8137 0.0000 0.0000  0.00
Ga 0.5063 0.6667 0.3333  0.38
Tl 0.2398 0.7744 0.1038  0.00
Tl 0.7670 0.0060 0.4449  0.00
Tl 0.7670 0.5551 0.5611  0.00
Tl 0.2398 0.8962 0.6706  0.00
Tl 0.7670 0.4389 0.9940  0.00
Tl 0.2398 0.3294 0.2256  0.00

Computed properties:
total moment	1.028	Bohr magnetons per cell
density	4.26	Mg/m³
formation energy without anion corrections	-1063	meV per atom
density of states at the Fermi level	2.11	states/eV per cell



# 4
Density functional theory data (GGA-PBE) for a relaxed AlCrIn2 crystal.

Cell: 5.0965 5.0965 3.2578 Å, 90.00 90.00 110.23°
Each line ends with the local moment (μB).
Element x y z (fractional)
In 0.0000 0.0000 0.0000  -0.05
In 0.5000 0.5000 0.0000  -0.05
Cr 0.0000 0.5000 0.5000  3.31
Al 0.5000 0.0000 0.5000  -0.02

Computed properties:
total moment	3.481	Bohr magnetons per cell
density	6.45	Mg/m³
total DFT energy (no corrections)	-17.69	eV for the cell shown
density of states at the Fermi level	1.95	states/eV per cell